Compound: Th4IrBr5
Source: Alexandria via LeMat-Bulk
Functional: PBE
Structure: optimized geometry

a = 3.9021 Å, b = 9.1154 Å, c = 9.2889 Å
α = 98.90°, β = 102.12°, γ = 90.00°
Fractional coordinates of all 10 atoms:
Ir (0.5000, 0.0000, 0.0000)
Br (0.8326, 0.6841, 0.6653)
Br (0.5000, 0.5000, 0.0000)
Br (0.1657, 0.7827, 0.3313)
Br (0.8343, 0.2173, 0.6687)
Th (0.6708, 0.0511, 0.3415)
Th (0.9983, 0.7870, 0.9966)
Th (0.0017, 0.2130, 0.0034)
Th (0.3292, 0.9489, 0.6585)
Br (0.1674, 0.3159, 0.3347)

Computed properties:
**Formation energy from raw total energies**: -1.281 eV per atom
**Space-group type**: C2/m
**V**: 319.0 Å³ per cell